Entry 1:
## Pr3TlO6 (PBE-GGA)

Data for a relaxed structure of Pr3TlO6.

Summary:
Energy, eV/atom: -7.304

Structure (POSCAR):
```
Pr3TlO6
1.0
-5.785 -0.552 -4.747
-3.300 -0.444 6.725
-0.619 5.810 0.080
O Pr Tl
12 6 2
Cartesian
-5.646 1.106 4.030 O
-6.219 1.086 1.140 O
-4.120 4.290 -1.964 O
-3.319 1.404 0.509 O
-7.122 3.961 -1.311 O
-4.384 4.552 4.262 O
-6.232 4.169 -4.421 O
-3.548 4.313 0.925 O
-6.447 3.995 1.556 O
-5.462 1.587 -2.186 O
-2.645 1.435 3.376 O
-3.550 1.367 6.489 O
-2.059 -0.065 -0.823 Pr
-4.339 -0.036 2.155 Pr
-7.366 2.257 2.845 Pr
-5.152 2.847 -0.125 Pr
-1.843 2.862 1.643 Pr
-7.582 -0.671 0.379 Pr
-4.070 2.509 4.676 Tl
-5.340 -0.464 -2.656 Tl
```

Entry 2:
## FeNiGeMo (PBE-GGA)

Data for a relaxed structure of FeNiGeMo.

Summary:
Polymorph energy (0 for the lowest one), meV per atom: 0
Energy, eV/atom: -7.319

Structure (POSCAR):
```
FeNiGeMo
1.0
-2.422 -2.649 -2.197
-3.978 -0.690 1.187
-3.177 1.489 -2.323
Ge Mo Ni Fe
1 1 1 1
Cartesian
0.000 0.000 0.000 Ge
-2.394 -0.462 -0.833 Mo
-7.182 -1.387 -2.500 Ni
-4.788 -0.925 -1.667 Fe
```

Entry 3:
## Ta4NiSbC2 (PBE-GGA)

Data for a relaxed structure of Ta4NiSbC2.

Summary:
Energy, eV/atom: -9.725

Structure (POSCAR):
```
Ta4NiSbC2
1.0
-1.165 -1.233 2.740
1.893 -1.791 -1.897
10.501 4.311 6.408
C Sb Ta Ni
2 1 4 1
Cartesian
8.865 1.676 4.526 C
3.382 -0.575 1.180 C
5.105 0.736 4.398 Sb
7.030 2.886 4.290 Ta
8.803 2.255 6.655 Ta
1.406 -0.782 2.141 Ta
3.471 1.425 2.118 Ta
0.000 0.000 0.000 Ni
```

Entry 4:
## AcLa (PBE-GGA)

Data for a relaxed structure of AcLa.

Summary:
Polymorph energy (0 for the lowest one), meV per atom: 0
Energy, eV/atom: -4.481
Formation enthalpy at 0 K, eV per formula unit: 0.1

Structure (POSCAR):
```
AcLa
1.0
3.916 -0.001 0.000
-1.959 3.394 0.000
0.000 0.000 6.210
Ac La
1 1
Cartesian
1.958 1.131 4.657 Ac
0.000 2.262 1.552 La
```

Entry 5:
## Tb2NdZn4Si4 (PBE-GGA)

Data for a relaxed structure of Tb2NdZn4Si4.

Summary:
Energy, eV/atom: -4.253

Structure (POSCAR):
```
Tb2NdZn4Si4
1.0
-7.227 -1.928 10.234
-3.572 2.233 11.956
3.520 1.844 -12.037
Tb Si Zn Nd
2 4 4 1
Cartesian
-3.411 0.002 2.299 Tb
-3.868 2.147 7.854 Tb
-4.881 0.138 10.029 Si
-2.079 2.096 4.178 Si
-5.918 0.167 12.161 Si
-5.200 0.052 5.975 Si
-8.096 0.228 16.635 Zn
-2.703 0.076 5.555 Zn
-6.226 0.081 8.084 Zn
-1.053 2.067 2.068 Zn
0.000 0.000 0.000 Nd
```

Entry 6:
## Dy3HoCu4 (PBE-GGA)

Data for a relaxed structure of Dy3HoCu4.

Summary:
Energy, eV/atom: -4.421
Formation enthalpy at 0 K, eV per formula unit: -2.1

Structure (POSCAR):
```
Dy3HoCu4
1.0
5.353 0.000 0.000
0.000 4.475 0.000
-0.001 0.000 7.093
Dy Cu Ho
3 4 1
Cartesian
1.958 2.237 1.289 Dy
4.634 0.000 2.257 Dy
0.718 2.237 4.836 Dy
0.679 0.000 6.861 Cu
3.356 2.237 3.779 Cu
1.996 0.000 3.315 Cu
4.672 2.237 0.231 Cu
3.394 0.000 5.804 Ho
```

We obtain total magnetic moment values of 0.00 2.07 0.02 0.00 0.00 0.01 μB/f.u. for the records listed above, in that order.